No. 1
# InIrPb2 SCAN PBEsol geometry
data_InIrPb2
_cell_length_a 6.083
_cell_length_b 7.359
_cell_length_c 4.034
_cell_angle_alpha 90.00
_cell_angle_beta 90.00
_cell_angle_gamma 90.00
_space_group_name_H-M_alt 'C m m m'
_space_group_IT_number 65
_space_group_name_Hall '-C 2 2'
loop_
_atom_site_label
_atom_site_type_symbol
_atom_site_fract_x
_atom_site_fract_y
_atom_site_fract_z
In1 In 0.000 0.000 0.000
Ir1 Ir 0.000 0.500 0.000
Pb1 Pb 0.250 0.250 0.500
# **Final energy**: -63.462 eV per atom

No. 2
# BaHg3C SCAN PBEsol geometry
data_BaHg3C
_cell_length_a 4.948
_cell_length_b 4.948
_cell_length_c 4.948
_cell_angle_alpha 90.00
_cell_angle_beta 90.00
_cell_angle_gamma 90.00
_space_group_name_H-M_alt 'P m -3 m'
_space_group_IT_number 221
_space_group_name_Hall '-P 4 2 3'
loop_
_atom_site_label
_atom_site_type_symbol
_atom_site_fract_x
_atom_site_fract_y
_atom_site_fract_z
Ba1 Ba 0.000 0.000 0.000
Hg1 Hg 0.000 0.500 0.500
C1 C 0.500 0.500 0.500
# **Final energy**: -50.257 eV per atom

No. 3
# TlCo2Tc SCAN PBEsol geometry
data_TlCo2Tc
_cell_length_a 2.8070
_cell_length_b 2.8070
_cell_length_c 25.4031
_cell_angle_alpha 90.00
_cell_angle_beta 90.00
_cell_angle_gamma 120.00
_space_group_name_H-M_alt 'R 3 m'
_space_group_IT_number 160
_space_group_name_Hall 'R 3 -2"'
loop_
_atom_site_label
_atom_site_type_symbol
_atom_site_fract_x
_atom_site_fract_y
_atom_site_fract_z
Tl1 Tl 0.0000 0.0000 0.0000
Co1 Co 0.0000 0.0000 0.4933
Co2 Co 0.0000 0.0000 0.7562
Tc1 Tc 0.0000 0.0000 0.2358
# **Final energy**: -34.840 eV per atom

No. 4
# CrInSN2 SCAN PBEsol geometry
data_CrInSN2
_cell_length_a 4.070
_cell_length_b 4.070
_cell_length_c 5.430
_cell_angle_alpha 90.00
_cell_angle_beta 90.00
_cell_angle_gamma 90.00
_space_group_name_H-M_alt 'P 4/m m m'
_space_group_IT_number 123
_space_group_name_Hall '-P 4 2'
loop_
_atom_site_label
_atom_site_type_symbol
_atom_site_fract_x
_atom_site_fract_y
_atom_site_fract_z
Cr1 Cr 0.000 0.000 0.000
In1 In 0.500 0.500 0.500
S1 S 0.500 0.500 0.000
N1 N 0.000 0.500 0.500
# **ΔE_f (raw)**: 1.2362 eV per atom

No. 5
# BaTi3Cd SCAN PBEsol geometry
data_BaTi3Cd
_cell_length_a 5.171
_cell_length_b 5.171
_cell_length_c 5.171
_cell_angle_alpha 90.00
_cell_angle_beta 90.00
_cell_angle_gamma 90.00
_space_group_name_H-M_alt 'P m -3 m'
_space_group_IT_number 221
_space_group_name_Hall '-P 4 2 3'
loop_
_atom_site_label
_atom_site_type_symbol
_atom_site_fract_x
_atom_site_fract_y
_atom_site_fract_z
Ba1 Ba 0.000 0.000 0.000
Ti1 Ti 0.000 0.500 0.500
Cd1 Cd 0.500 0.500 0.500
# **Final energy**: -22.680 eV per atom

No. 6
# CaAs2Ir SCAN PBEsol geometry
data_CaAs2Ir
_cell_length_a 4.0692
_cell_length_b 4.0692
_cell_length_c 16.0582
_cell_angle_alpha 90.00
_cell_angle_beta 90.00
_cell_angle_gamma 120.00
_space_group_name_H-M_alt 'R -3 m'
_space_group_IT_number 166
_space_group_name_Hall '-R 3 2"'
loop_
_atom_site_label
_atom_site_type_symbol
_atom_site_fract_x
_atom_site_fract_y
_atom_site_fract_z
Ca1 Ca 0.0000 0.0000 0.0000
As1 As 0.0000 0.0000 0.2250
Ir1 Ir 0.0000 0.0000 0.5000
# **Final energy**: -31.065 eV per atom

No. 7
# ZrOsBr2 SCAN PBEsol geometry
data_ZrOsBr2
_cell_length_a 5.932
_cell_length_b 6.073
_cell_length_c 4.447
_cell_angle_alpha 90.00
_cell_angle_beta 90.00
_cell_angle_gamma 90.00
_space_group_name_H-M_alt 'C m m m'
_space_group_IT_number 65
_space_group_name_Hall '-C 2 2'
loop_
_atom_site_label
_atom_site_type_symbol
_atom_site_fract_x
_atom_site_fract_y
_atom_site_fract_z
Zr1 Zr 0.000 0.000 0.000
Os1 Os 0.000 0.500 0.000
Br1 Br 0.000 0.258 0.500
# **ΔE_f (raw)**: 0.5014 eV per atom

No. 8
# Zr2MnAs SCAN PBEsol geometry
data_Zr2MnAs
_cell_length_a 3.400
_cell_length_b 3.400
_cell_length_c 5.897
_cell_angle_alpha 90.00
_cell_angle_beta 90.07
_cell_angle_gamma 90.00
_space_group_name_H-M_alt 'P 1 2/m 1'
_space_group_IT_number 10
loop_
_space_group_symop_operation_xyz
'x,y,z'
'-x,-y,-z'
'-x,y,-z'
'x,-y,z'
loop_
_atom_site_label
_atom_site_type_symbol
_atom_site_fract_x
_atom_site_fract_y
_atom_site_fract_z
Zr1 Zr 0.001 0.000 0.252
Mn1 Mn 0.500 0.500 0.500
As1 As 0.500 0.500 0.000
# **Final energy**: -25.477 eV per atom

No. 9
# AlSbOs2 SCAN PBEsol geometry
data_AlSbOs2
_cell_length_a 2.9820
_cell_length_b 2.9820
_cell_length_c 25.3428
_cell_angle_alpha 90.00
_cell_angle_beta 90.00
_cell_angle_gamma 120.00
_space_group_name_H-M_alt 'R 3 m'
_space_group_IT_number 160
_space_group_name_Hall 'R 3 -2"'
loop_
_atom_site_label
_atom_site_type_symbol
_atom_site_fract_x
_atom_site_fract_y
_atom_site_fract_z
Al1 Al 0.0000 0.0000 0.0000
Sb1 Sb 0.0000 0.0000 0.7610
Os1 Os 0.0000 0.0000 0.2594
Os2 Os 0.0000 0.0000 0.5120
# **ΔE_f (raw)**: 0.4085 eV per atom

No. 10
# MnSi2Pd3 SCAN PBEsol geometry
data_MnSi2Pd3
_cell_length_a 6.452
_cell_length_b 3.445
_cell_length_c 11.151
_cell_angle_alpha 90.00
_cell_angle_beta 90.39
_cell_angle_gamma 90.00
_space_group_name_H-M_alt 'P 1 m 1'
_space_group_IT_number 6
loop_
_space_group_symop_operation_xyz
'x,y,z'
'x,-y,z'
loop_
_atom_site_label
_atom_site_type_symbol
_atom_site_fract_x
_atom_site_fract_y
_atom_site_fract_z
Mn1 Mn 0.000 0.000 0.000
Mn2 Mn 0.103 0.000 0.288
Mn3 Mn 0.494 0.000 0.482
Si1 Si 0.388 0.500 0.660
Si2 Si 0.399 0.500 0.319
Si3 Si 0.408 0.000 0.990
Si4 Si 0.892 0.500 0.816
Si5 Si 0.898 0.500 0.161
Si6 Si 0.901 0.000 0.488
Pd1 Pd 0.089 0.000 0.686
Pd2 Pd 0.166 0.500 0.487
Pd3 Pd 0.254 0.500 0.863
Pd4 Pd 0.263 0.500 0.117
Pd5 Pd 0.584 0.000 0.789
Pd6 Pd 0.596 0.000 0.187
Pd7 Pd 0.676 0.500 0.986
Pd8 Pd 0.751 0.500 0.616
Pd9 Pd 0.769 0.500 0.361
# **ΔE_f (raw)**: -0.6806 eV per atom

No. 11
# ZnSiB2N SCAN PBEsol geometry
data_ZnSiB2N
_cell_length_a 3.787
_cell_length_b 3.787
_cell_length_c 4.293
_cell_angle_alpha 90.00
_cell_angle_beta 90.00
_cell_angle_gamma 90.00
_space_group_name_H-M_alt 'P 4/m m m'
_space_group_IT_number 123
_space_group_name_Hall '-P 4 2'
loop_
_atom_site_label
_atom_site_type_symbol
_atom_site_fract_x
_atom_site_fract_y
_atom_site_fract_z
Zn1 Zn 0.000 0.000 0.000
Si1 Si 0.500 0.500 0.500
B1 B 0.000 0.500 0.000
N1 N 0.000 0.000 0.500
# **ΔE_f (raw)**: 2.1685 eV per atom

No. 12
# Be2CdW SCAN PBEsol geometry
data_Be2CdW
_cell_length_a 3.442
_cell_length_b 3.442
_cell_length_c 8.794
_cell_angle_alpha 90.00
_cell_angle_beta 90.00
_cell_angle_gamma 90.00
_space_group_name_H-M_alt 'I -4 m 2'
_space_group_IT_number 119
_space_group_name_Hall 'I -4 -2'
loop_
_atom_site_label
_atom_site_type_symbol
_atom_site_fract_x
_atom_site_fract_y
_atom_site_fract_z
Be1 Be 0.000 0.000 0.000
Be2 Be 0.000 0.500 0.250
Cd1 Cd 0.000 0.000 0.500
W1 W 0.000 0.500 0.750
# **Final energy**: -26.653 eV per atom

| no. | M_tot (μB per cell) |
| --- | --- |
| 1 | 0.00 |
| 2 | 0.00 |
| 3 | 11.51 |
| 4 | 7.62 |
| 5 | 7.92 |
| 6 | 0.00 |
| 7 | 0.00 |
| 8 | 2.22 |
| 9 | 0.00 |
| 10 | 10.36 |
| 11 | 0.00 |
| 12 | 0.00 |